1.
12
Lattice="7.018 -0.003 0.000 -3.510 6.078 0.000 -1.170 -2.026 7.539" Properties=species:S:1:pos:R:3 comment="GGA-PBE Sm6CuOs2Cl3, relaxed" e_form_raw_mev_per_atom=-828 volume_a3_per_fu=321 n_ef_per_ev_cell=3.8 dft_energy_ev_per_cell=-70.348 space_group="No. 12" pbc="T T T"
Sm 3.558 1.935 5.981
Sm 2.288 3.961 1.555
Sm -1.220 2.113 1.558
Sm -0.102 4.049 5.981
Sm 0.051 0.088 5.984
Sm 2.440 -0.001 1.558
Cu 0.000 0.000 0.000
Os 0.001 4.050 0.000
Os 3.507 2.025 0.000
Cl -2.287 4.021 3.769
Cl 4.626 0.028 3.769
Cl 1.169 2.024 3.769

2.
4
Lattice="2.962 -3.317 0.875 0.530 -1.504 4.243 -1.490 -4.125 1.145" Properties=species:S:1:pos:R:3 comment="GGA-PBE TiAg2Ir, relaxed" volume_a3_per_fu=66 n_ef_per_ev_cell=10.1 dft_energy_ev_per_cell=-21.472 polymorph_energy_mev_per_atom=0.0 space_group="No. 225" formation_energy_mev_per_atom=247 pbc="T T T"
Ir 1.001 -4.473 3.132
Ag 0.501 -2.236 1.566
Ag 1.502 -6.709 4.698
Ti 0.000 0.000 0.000

3.
4
Lattice="-0.418 -8.042 5.110 2.670 -7.782 4.824 1.184 -6.261 7.097" Properties=species:S:1:pos:R:3 comment="GGA-PBE TaSiCl2, relaxed" e_form_raw_mev_per_atom=123 volume_a3_per_fu=79 n_ef_per_ev_cell=2.9 dft_energy_ev_per_cell=-20.476 polymorph_energy_mev_per_atom=605.3 space_group="No. 166" pbc="T T T"
Si 1.718 -11.043 8.516
Cl 3.148 -20.237 15.605
Cl 0.288 -1.849 1.426
Ta 0.000 0.000 0.000

4.
8
Lattice="4.794 0.000 0.000 0.000 4.794 0.000 2.397 2.397 11.153" Properties=species:S:1:pos:R:3 comment="GGA-PBE RbBaOs2, relaxed" volume_a3_per_fu=128 n_ef_per_ev_cell=12.7 dft_energy_ev_per_cell=-38.440 polymorph_energy_mev_per_atom=0.0 space_group="No. 122" formation_energy_mev_per_atom=1532 pbc="T T T"
Os 4.502 1.199 2.788
Os 5.087 3.596 2.788
Os 3.596 2.690 8.364
Os 5.993 2.104 8.364
Ba 0.000 0.000 0.000
Ba 4.794 2.397 5.576
Rb 2.397 2.397 0.000
Rb 2.397 4.794 5.576